1.
## CsAl2AgI8 (PBE-GGA)

Data for a geometry-optimized CsAl2AgI8 structure.

Computed properties:
E_form (uncorrected) = -0.7644 eV/atom
Volume = 528.5 Å³ per cell
D(E_F) = 0.00 states/eV per atom
Total magnetization = 0.000 μB/cell
Uncorrected energy = -32.76 eV per formula unit

a = 7.5019 Å, b = 7.5019 Å, c = 10.8441 Å
α = 90.00°, β = 90.00°, γ = 120.00°
Space group P-3 (No. 147)
Asymmetric unit:
Cs1 0.0000 0.0000 0.0000 x1
Al1 0.3333 0.6667 0.7444 x2
Ag1 0.0000 0.0000 0.5000 x1
I1 0.0109 0.3346 0.6716 x6
I2 0.3333 0.6667 0.9805 x2

---

2.
## Cs2AlAgI (PBE-GGA)

Data for a geometry-optimized Cs2AlAgI structure.

Computed properties:
E_form (uncorrected) = 0.0754 eV/atom
Volume = 325.6 Å³ per cell
D(E_F) = 0.54 states/eV per atom
Total magnetization = 1.000 μB/cell
Uncorrected energy = -9.47 eV per formula unit

a = 7.320 Å, b = 7.320 Å, c = 6.076 Å
α = 90.00°, β = 90.00°, γ = 90.00°
Space group P4/mmm (No. 123)
Asymmetric unit:
Cs1 0.000 0.500 0.000 x2
Al1 0.000 0.000 0.500 x1
Ag1 0.500 0.500 0.500 x1
I1 0.000 0.000 0.000 x1

---

3.
## CsNa2AlAg (PBE-GGA)

Data for a geometry-optimized CsNa2AlAg structure.

Computed properties:
Volume = 185.0 Å³ per cell
D(E_F) = 0.25 states/eV per atom
Formation enthalpy at 0 K = 0.14 eV per atom
Relative energy among the computed polymorphs = 0.67 kcal/mol of atoms
Total magnetization = 0.000 μB/cell
Uncorrected energy = -9.40 eV per formula unit

a = 6.013 Å, b = 6.013 Å, c = 5.115 Å
α = 90.00°, β = 90.00°, γ = 90.00°
Space group P4/mmm (No. 123)
Asymmetric unit:
Cs1 0.000 0.000 0.000 x1
Na1 0.000 0.500 0.500 x2
Al1 0.500 0.500 0.500 x1
Ag1 0.500 0.500 0.000 x1

---

4.
## CsNa2AlAg (PBE-GGA)

Data for a geometry-optimized CsNa2AlAg structure.

Computed properties:
Volume = 178.8 Å³ per cell
D(E_F) = 0.22 states/eV per atom
Formation enthalpy at 0 K = 0.11 eV per atom
Relative energy among the computed polymorphs = 0.00 kcal/mol of atoms
Total magnetization = 0.000 μB/cell
Uncorrected energy = -9.55 eV per formula unit

a = 5.970 Å, b = 5.970 Å, c = 5.017 Å
α = 90.00°, β = 90.00°, γ = 90.00°
Space group P4/mmm (No. 123)
Asymmetric unit:
Cs1 0.000 0.000 0.000 x1
Na1 0.000 0.500 0.500 x2
Al1 0.500 0.500 0.000 x1
Ag1 0.500 0.500 0.500 x1

---

5.
## CsAlAgO2 (PBE-GGA)

Data for a geometry-optimized CsAlAgO2 structure.

Computed properties:
E_form (uncorrected) = -1.6206 eV/atom
Volume = 486.3 Å³ per cell
D(E_F) = 0.21 states/eV per atom
Total magnetization = 0.000 μB/cell
Uncorrected energy = -25.47 eV per formula unit

a = 5.109 Å, b = 12.252 Å, c = 7.770 Å
α = 90.00°, β = 90.00°, γ = 90.00°
Space group Cmme (No. 67)
Asymmetric unit:
Cs1 0.000 0.250 0.209 x4
Al1 0.250 0.000 0.000 x4
Ag1 0.000 0.000 0.500 x4
O1 0.000 0.081 0.895 x8

---

6.
## CsAlAg2P (PBE-GGA)

Data for a geometry-optimized CsAlAg2P structure.

Computed properties:
Volume = 136.5 Å³ per cell
D(E_F) = 0.25 states/eV per atom
Formation enthalpy at 0 K = 0.18 eV per atom
Total magnetization = 0.000 μB/cell
Uncorrected energy = -14.78 eV per formula unit

a = 5.318 Å, b = 5.318 Å, c = 4.826 Å
α = 90.00°, β = 90.00°, γ = 90.00°
Space group P4/mmm (No. 123)
Asymmetric unit:
Cs1 0.000 0.000 0.000 x1
Al1 0.500 0.500 0.500 x1
Ag1 0.000 0.500 0.500 x2
P1 0.500 0.500 0.000 x1

---

7.
## CsAl2AgRu (PBE-GGA)

Data for a geometry-optimized CsAl2AgRu structure.

Computed properties:
Volume = 130.7 Å³ per cell
D(E_F) = 0.41 states/eV per atom
Formation enthalpy at 0 K = 0.18 eV per atom
Total magnetization = 0.000 μB/cell
Uncorrected energy = -19.55 eV per formula unit

a = 4.825 Å, b = 4.825 Å, c = 5.613 Å
α = 90.00°, β = 90.00°, γ = 90.00°
Space group P4/mmm (No. 123)
Asymmetric unit:
Cs1 0.000 0.000 0.000 x1
Al1 0.000 0.500 0.500 x2
Ag1 0.500 0.500 0.000 x1
Ru1 0.500 0.500 0.500 x1

---

8.
## CsAlAgS3 (PBE-GGA)

Data for a geometry-optimized CsAlAgS3 structure.

Computed properties:
E_form (uncorrected) = -0.7030 eV/atom
Volume = 600.5 Å³ per cell
D(E_F) = 0.68 states/eV per atom
Total magnetization = 0.000 μB/cell
Uncorrected energy = -24.05 eV per formula unit

a = 6.794 Å, b = 13.196 Å, c = 6.698 Å
α = 90.00°, β = 90.00°, γ = 90.00°
Space group Cmcm (No. 63)
Asymmetric unit:
Cs1 0.000 0.246 0.250 x4
Al1 0.000 0.434 0.750 x4
Ag1 0.000 0.065 0.750 x4
S1 0.000 0.268 0.750 x4
S2 0.227 0.500 0.000 x8